# 1
Computed, not measured: crystalline CoTcAu at its relaxed geometry at the GGA-PBE level of DFT.

Geometry as POSCAR:
```
CoTcAu
1.0
2.748 0.000 0.000
-1.374 2.380 0.000
0.000 0.000 6.708
Au Co Tc
1 1 1
Cartesian
0.000 0.000 0.066
0.000 1.587 2.357
1.374 0.793 4.285
```

Output
Raw total energy in eV/atom: -6.6525
N(E_F) in states/eV per atom: 1.146
ΔE to the lowest computed polymorph in meV per atom: 69.1
Space-group type: P3m1
DFT formation energy in meV per atom: 264

# 2
Computed, not measured: crystalline CaGdAgSn at its relaxed geometry at the GGA-PBE level of DFT.

Geometry as POSCAR:
```
CaGdAgSn
1.0
-1.153 -2.211 -4.687
-2.542 -4.656 -0.185
-5.035 -0.211 -1.668
Sn Ag Gd Ca
1 1 1 1
Cartesian
-2.183 -1.769 -1.635
-6.548 -5.308 -4.905
0.000 0.000 0.000
-4.365 -3.539 -3.270
```

Output
Raw total energy in eV/atom: -6.2833
N(E_F) in states/eV per atom: 0.929
Space-group type: F-43m
DFT formation energy in meV per atom: -549

# 3
Computed, not measured: crystalline HoPuTe3 at its relaxed geometry at the GGA-PBE level of DFT.

Geometry as POSCAR:
```
HoPuTe3
1.0
4.330 -0.001 0.000
0.002 7.581 0.000
0.000 0.000 9.721
Te Pu Ho
6 2 2
Cartesian
3.249 5.685 0.667
1.083 1.895 9.054
1.083 3.616 3.225
3.249 7.407 6.495
1.083 0.174 3.225
3.248 3.964 6.495
1.084 5.686 8.199
3.248 1.895 1.522
1.083 1.895 5.860
3.249 5.685 3.861
```

Output
Raw total energy in eV/atom: -6.7765
N(E_F) in states/eV per atom: 2.440
Space-group type: Pmmn
ΔE_f (raw) in eV per atom: -1.110

# 4
Computed, not measured: crystalline Pm2YCu6 at its relaxed geometry at the GGA-PBE level of DFT.

Geometry as POSCAR:
```
Pm2YCu6
1.0
-0.210 -0.310 3.659
5.645 -4.745 -0.078
1.271 7.232 0.686
Pm Cu Y
2 6 1
Cartesian
2.729 3.240 0.431
4.187 -0.752 0.176
1.768 -1.729 1.804
2.190 0.670 2.031
3.667 -3.325 1.777
0.744 4.677 2.288
4.516 1.507 2.236
0.317 2.245 2.057
0.000 0.000 0.000
```

Output
Raw total energy in eV/atom: -4.7396
N(E_F) in states/eV per atom: 0.462
Space-group type: P6/mmm
DFT formation energy in meV per atom: -235

# 5
Computed, not measured: crystalline GeCF at its relaxed geometry at the GGA-PBE level of DFT.

Geometry as POSCAR:
```
GeCF
1.0
-0.188 0.646 -3.250
-3.119 -4.137 -2.349
-5.163 1.901 0.674
Ge C F
2 2 2
Cartesian
-4.060 -2.928 -3.751
-4.411 1.338 -1.174
-3.443 1.594 -2.874
-5.027 -3.184 -2.051
-3.069 -1.472 -3.518
-5.401 -0.118 -1.407
```

Output
Raw total energy in eV/atom: -5.8359
ΔE to the lowest computed polymorph in meV per atom: 15.7
Space-group type: P-1
ΔE_f (raw) in eV per atom: -0.598

# 6
Computed, not measured: crystalline Zn2RuSe at its relaxed geometry at the GGA-PBE level of DFT.

Geometry as POSCAR:
```
Zn2RuSe
1.0
-0.612 0.433 3.340
-2.661 -2.142 -0.210
3.178 -4.056 1.108
Zn Se Ru
2 1 1
Cartesian
1.536 -1.960 0.535
0.053 -0.068 0.019
0.747 -3.897 2.396
-0.842 -1.869 1.842
```

Output
Raw total energy in eV/atom: -3.7517
N(E_F) in states/eV per atom: 0.598
Space-group type: P4/mmm
ΔE_f (raw) in eV per atom: 0.075

# 7
Computed, not measured: crystalline BeAsPbSe2 at its relaxed geometry at the GGA-PBE level of DFT.

Geometry as POSCAR:
```
BeAsPbSe2
1.0
5.609 0.000 0.000
0.000 5.609 0.000
0.000 0.000 5.610
Se Be Pb As
2 1 1 1
Cartesian
2.805 0.000 0.000
0.000 2.805 0.000
2.805 2.805 2.805
0.000 0.000 0.000
0.000 0.000 2.805
```

Output
Raw total energy in eV/atom: -2.5567
N(E_F) in states/eV per atom: 0.975
ΔE to the lowest computed polymorph in meV per atom: 1181.3
Space-group type: P4/mmm
ΔE_f (raw) in eV per atom: 1.254

# 8
Computed, not measured: crystalline DyTmCdPd at its relaxed geometry at the GGA-PBE level of DFT.

Geometry as POSCAR:
```
DyTmCdPd
1.0
3.569 0.000 0.000
0.000 3.569 0.000
0.000 0.000 7.339
Pd Dy Tm Cd
1 1 1 1
Cartesian
1.785 1.785 4.402
0.000 0.000 6.122
0.000 0.000 2.801
1.785 1.785 0.825
```

Output
Raw total energy in eV/atom: -4.4132
N(E_F) in states/eV per atom: 0.719
ΔE to the lowest computed polymorph in meV per atom: 0.0
Space-group type: P4mm
DFT formation energy in meV per atom: -618

# 9
Computed, not measured: crystalline Tb2PrGd at its relaxed geometry at the GGA-PBE level of DFT.

Geometry as POSCAR:
```
Tb2PrGd
1.0
-0.424 0.800 -3.491
-0.554 -2.635 -2.400
-11.926 0.343 -0.336
Tb Gd Pr
2 1 1
Cartesian
-3.257 -0.371 -1.552
-9.647 -1.122 -4.675
-6.452 -0.746 -3.113
0.000 0.000 0.000
```

Output
Raw total energy in eV/atom: -7.0099
N(E_F) in states/eV per atom: 1.477
ΔE to the lowest computed polymorph in meV per atom: 5.8
Space-group type: R-3m
DFT formation energy in meV per atom: 20

# 10
Computed, not measured: crystalline CaTbEuHo at its relaxed geometry at the GGA-PBE level of DFT.

Geometry as POSCAR:
```
CaTbEuHo
1.0
5.848 0.000 0.000
2.924 5.064 0.000
2.924 1.688 4.775
Ho Ca Tb Eu
1 1 1 1
Cartesian
8.771 5.064 3.581
2.924 1.688 1.194
5.848 3.376 2.387
0.000 0.000 0.000
```

Output
Raw total energy in eV/atom: -5.2190
N(E_F) in states/eV per atom: 1.338
Space-group type: F-43m
DFT formation energy in meV per atom: 152

# 11
Computed, not measured: crystalline AlTe2W at its relaxed geometry at the GGA-PBE level of DFT.

Geometry as POSCAR:
```
AlTe2W
1.0
3.520 0.000 0.000
0.000 5.441 0.000
0.000 0.000 4.461
Te Al W
2 1 1
Cartesian
1.760 2.720 0.000
0.000 0.000 0.000
0.000 2.720 2.231
1.760 0.000 2.231
```

Output
Raw total energy in eV/atom: -4.8822
N(E_F) in states/eV per atom: 0.916
Space-group type: Pmmm
ΔE_f (raw) in eV per atom: 0.863

# 12
Computed, not measured: crystalline La3Ga9Tc2 at its relaxed geometry at the GGA-PBE level of DFT.

Geometry as POSCAR:
```
La3Ga9Tc2
1.0
-2.949 -2.966 -1.336
2.647 -2.462 -7.593
3.931 -7.413 0.564
Ga La Tc
9 3 2
Cartesian
-0.193 -1.846 -2.691
0.169 -3.241 -0.393
1.830 -9.855 -3.810
1.798 -2.986 -4.556
3.289 -4.937 -3.515
1.274 -7.711 -7.341
3.460 -9.600 -7.972
3.821 -10.995 -5.675
2.354 -5.130 -1.024
3.693 -7.783 -5.306
0.000 0.000 0.000
-0.065 -5.058 -3.060
1.581 -5.520 -5.667
2.048 -7.321 -2.699
```

Output
Raw total energy in eV/atom: -4.9592
N(E_F) in states/eV per atom: 0.705
Space-group type: Immm
DFT formation energy in meV per atom: -477